1.
# RuPt3Se

Crystalline RuPt3Se at its relaxed geometry (PBE, the Alexandria database).

a = 4.7916 Å, b = 4.7916 Å, c = 4.7916 Å
α = 90.00°, β = 90.00°, γ = 90.00°
Last column: nearest neighbours and their distance in Å.
Fractional positions:
1 Ru 0.0000 0.0000 0.0000  6 Pt 2.40
2 Pt 0.0000 0.0000 0.5000  2 Ru 2.40
3 Pt 0.0000 0.5000 0.0000  2 Ru 2.40
4 Pt 0.5000 0.0000 0.0000  2 Ru 2.40
5 Se 0.5000 0.5000 0.5000  12 Pt 3.39

Output
Crystal system: cubic
E_form (uncorrected), kJ per mole of atoms: 135.3
Distance to the lowest polymorph of the same formula, eV per atom: 0.360
Calculated volume, Å³ per cell: 110.0
Mass density, Mg/m³: 11.6
Symmetry: No. 221

***

2.
# Tb6PmSm3

Crystalline Tb6PmSm3 at its relaxed geometry (PBE, the Alexandria database).

a = 6.9331 Å, b = 6.9331 Å, c = 6.9331 Å
α = 91.50°, β = 91.50°, γ = 91.50°
Last column: nearest neighbours and their distance in Å.
Fractional positions:
1 Tb 0.9997 0.3276 0.6728  1 Pm 3.25, 2 Sm 3.48
2 Tb 0.1730 0.8272 0.4997  3 Sm 3.25-3.49
3 Tb 0.3276 0.6728 0.9997  1 Pm 3.25, 2 Sm 3.48
4 Tb 0.4997 0.1730 0.8272  3 Sm 3.25-3.49
5 Tb 0.6728 0.9997 0.3276  1 Pm 3.25, 2 Sm 3.48
6 Tb 0.8272 0.4997 0.1730  3 Sm 3.25-3.49
7 Pm 0.0010 0.0010 0.0010  2 Sm 2.92-2.93, 3 Tb 3.25
8 Sm 0.2520 0.2520 0.2520  1 Sm 2.91, 1 Pm 2.93
9 Sm 0.5010 0.5010 0.5010  2 Sm 2.91-2.92, 3 Tb 3.25
10 Sm 0.7510 0.7510 0.7510  1 Sm 2.92, 1 Pm 2.92

Output
Crystal system: trigonal
Distance to the lowest polymorph of the same formula, eV per atom: 0.127
Calculated volume, Å³ per cell: 332.9
Mass density, Mg/m³: 7.7
E_form, eV per formula unit: 2.74
Symmetry: No. 146

***

3.
# BeOsRh

Crystalline BeOsRh at its relaxed geometry (PBE, the Alexandria database).

a = 3.8263 Å, b = 3.8263 Å, c = 3.8263 Å
α = 60.00°, β = 60.00°, γ = 60.00°
Last column: nearest neighbours and their distance in Å.
Fractional positions:
1 Be 0.0000 0.0000 0.0000  4 Os 2.34, 4 Rh 2.34
2 Os 0.2500 0.2500 0.2500  4 Be 2.34
3 Rh 0.7500 0.7500 0.7500  4 Be 2.34

Output
Crystal system: cubic
Distance to the lowest polymorph of the same formula, eV per atom: 0.547
Calculated volume, Å³ per cell: 39.6
Mass density, Mg/m³: 12.7
E_form, eV per formula unit: 1.12
Symmetry: No. 216